Entry 1:
The following is a DFT calculation (PBE) of an optimized crystal structure of Ac3HfTl3Se8.

Cell lengths 9.3185, 9.3185, 9.3185 Å; angles 56.62, 56.62, 56.62 degrees
Closest atoms and distances in Å follow each position.
Element x y z (fractional)
Ac (0.0000, 0.5000, 0.5000)  6 Se 3.08-3.13
Ac (0.5000, 0.0000, 0.5000)  6 Se 3.08-3.13
Ac (0.5000, 0.5000, 0.0000)  6 Se 3.08-3.13
Hf (0.0000, 0.0000, 0.0000)  6 Se 2.74
Tl (0.0000, 0.0000, 0.5000)  6 Se 3.35-3.36
Tl (0.0000, 0.5000, 0.0000)  6 Se 3.35-3.36
Tl (0.5000, 0.0000, 0.0000)  6 Se 3.35-3.36
Se (0.2139, 0.2139, 0.7720)  1 Hf 2.74
Se (0.2139, 0.7720, 0.2139)  1 Hf 2.74
Se (0.2280, 0.7861, 0.7861)  1 Hf 2.74
Se (0.2596, 0.2596, 0.2596)  3 Ac 3.08, 3 Tl 3.35
Se (0.7404, 0.7404, 0.7404)  3 Ac 3.08, 3 Tl 3.35
Se (0.7720, 0.2139, 0.2139)  1 Hf 2.74
Se (0.7861, 0.2280, 0.7861)  1 Hf 2.74
Se (0.7861, 0.7861, 0.2280)  1 Hf 2.74

space group	R-3m

Entry 2:
The following is a DFT calculation (PBE) of an optimized crystal structure of AcGaAg.

Cell lengths 5.0000, 5.0000, 5.0000 Å; angles 60.00, 60.00, 60.00 degrees
Closest atoms and distances in Å follow each position.
Element x y z (fractional)
Ac (0.0000, 0.0000, 0.0000)  4 Ag 3.06
Ga (0.5000, 0.5000, 0.5000)  4 Ag 3.06
Ag (0.7500, 0.7500, 0.7500)  4 Ac 3.06, 4 Ga 3.06

calculated formation energy	-0.22	eV/atom
offset from the most stable computed form	248.6	meV per atom
space group	F-43m

Entry 3:
The following is a DFT calculation (PBE) of an optimized crystal structure of CsGaSb2H.

Cell lengths 4.8541, 4.8541, 5.6573 Å; angles 90.00, 90.00, 90.00 degrees
Closest atoms and distances in Å follow each position.
Element x y z (fractional)
Cs (0.0000, 0.0000, 0.0000)  2 H 2.83
Ga (0.5000, 0.5000, 0.0000)  4 Cs 3.43, 8 Sb 3.73
Sb (0.0000, 0.5000, 0.5000)  2 H 2.43
Sb (0.5000, 0.0000, 0.5000)  2 H 2.43
H (0.0000, 0.0000, 0.5000)  4 Sb 2.43

space group	P4/mmm

Entry 4:
The following is a DFT calculation (PBE) of an optimized crystal structure of SrIrCl.

Cell lengths 5.9039, 5.9039, 5.9039 Å; angles 124.52, 85.21, 121.12 degrees
Closest atoms and distances in Å follow each position.
Element x y z (fractional)
Sr (0.0000, 0.0000, 0.0000)  4 Cl 2.95, 2 Ir 3.04
Sr (0.5000, 0.0000, 0.5000)  4 Cl 2.95, 2 Ir 3.04
Ir (0.3835, 0.6335, 0.7500)  2 Cl 2.62
Ir (0.6165, 0.3665, 0.2500)  2 Cl 2.62
Cl (0.0000, 0.0000, 0.5000)  2 Ir 2.62, 2 Cl 2.75
Cl (0.0000, 0.5000, 0.0000)  2 Ir 2.62, 2 Cl 2.75

offset from the most stable computed form	916.8	meV per atom
space group	Imma

Entry 5:
The following is a DFT calculation (PBE) of an optimized crystal structure of Ca5MgGa4.

Cell lengths 3.7194, 3.7194, 18.7119 Å; angles 90.00, 90.00, 90.00 degrees
Closest atoms and distances in Å follow each position.
Element x y z (fractional)
Ca (0.0000, 0.0000, 0.0000)  8 Ga 3.18
Ca (0.0000, 0.0000, 0.1926)  8 Ga 3.19, 1 Ca 3.56
Ca (0.0000, 0.0000, 0.3828)  4 Ga 3.16, 4 Mg 3.42
Ca (0.0000, 0.0000, 0.6172)  4 Ga 3.16, 4 Mg 3.42
Ca (0.0000, 0.0000, 0.8074)  8 Ga 3.19, 1 Ca 3.56
Mg (0.5000, 0.5000, 0.5000)  8 Ca 3.42, 4 Mg 3.72
Ga (0.5000, 0.5000, 0.0958)  8 Ca 3.18-3.19
Ga (0.5000, 0.5000, 0.2895)  8 Ca 3.16-3.19
Ga (0.5000, 0.5000, 0.7105)  8 Ca 3.16-3.19
Ga (0.5000, 0.5000, 0.9042)  8 Ca 3.18-3.19

calculated formation energy	-0.37	eV/atom
space group	P4/mmm

Entry 6:
The following is a DFT calculation (PBE) of an optimized crystal structure of Ac4Mg5Pb6.

Cell lengths 11.2141, 11.2141, 17.7018 Å; angles 90.00, 90.00, 154.44 degrees
Closest atoms and distances in Å follow each position.
Element x y z (fractional)
Ac (0.0185, 0.9815, 0.5000)  7 Pb 3.54-3.72, 3 Mg 3.71-3.80
Ac (0.0328, 0.9672, 0.7647)  6 Pb 3.54-3.66, 5 Mg 3.59-3.68
Ac (0.1668, 0.8332, 0.3017)  6 Pb 3.43-3.49
Ac (0.1768, 0.8232, 0.9445)  6 Pb 3.38-3.44
Ac (0.8232, 0.1768, 0.4445)  6 Pb 3.38-3.44
Ac (0.8332, 0.1668, 0.8017)  6 Pb 3.43-3.49
Ac (0.9672, 0.0328, 0.2647)  6 Pb 3.54-3.66, 5 Mg 3.59-3.68
Ac (0.9815, 0.0185, 0.0000)  7 Pb 3.54-3.72, 3 Mg 3.71-3.80
Mg (0.1536, 0.8464, 0.6268)  4 Pb 2.94-3.09, 1 Mg 3.23
Mg (0.3014, 0.6986, 0.6223)  4 Pb 2.97-3.12, 2 Mg 3.13-3.23
Mg (0.3432, 0.6568, 0.2683)  4 Pb 2.94-3.11
Mg (0.3502, 0.6498, 0.9867)  4 Pb 2.94-3.08
Mg (0.4372, 0.5628, 0.6781)  4 Pb 2.90-3.09, 1 Mg 3.13
Mg (0.5628, 0.4372, 0.1781)  4 Pb 2.90-3.09, 1 Mg 3.13
Mg (0.6498, 0.3502, 0.4867)  4 Pb 2.94-3.08
Mg (0.6568, 0.3432, 0.7683)  4 Pb 2.94-3.11
Mg (0.6986, 0.3014, 0.1223)  4 Pb 2.97-3.12, 2 Mg 3.13-3.23
Mg (0.8464, 0.1536, 0.1268)  4 Pb 2.94-3.09, 1 Mg 3.23
Pb (0.1118, 0.8882, 0.1181)  4 Mg 2.90-3.12
Pb (0.2219, 0.7781, 0.4836)  4 Mg 2.94-3.01
Pb (0.2292, 0.7708, 0.7647)  4 Mg 2.94-2.97
Pb (0.4284, 0.5716, 0.4086)  1 Pb 3.09, 1 Mg 3.11, 2 Ac 3.44
Pb (0.4304, 0.5696, 0.1294)  5 Mg 3.02-3.11
Pb (0.4378, 0.5622, 0.8528)  2 Mg 3.05-3.09, 1 Pb 3.09
Pb (0.5622, 0.4378, 0.3528)  2 Mg 3.05-3.09, 1 Pb 3.09
Pb (0.5696, 0.4304, 0.6294)  5 Mg 3.02-3.11
Pb (0.5716, 0.4284, 0.9086)  1 Pb 3.09, 1 Mg 3.11, 2 Ac 3.44
Pb (0.7708, 0.2292, 0.2647)  4 Mg 2.94-2.97
Pb (0.7781, 0.2219, 0.9836)  4 Mg 2.94-3.01
Pb (0.8882, 0.1118, 0.6181)  4 Mg 2.90-3.12

calculated formation energy	-0.42	eV/atom
space group	Cmc2_1

Entry 7:
The following is a DFT calculation (PBE) of an optimized crystal structure of Dy3Er2In4.

Cell lengths 8.4617, 8.4617, 9.7467 Å; angles 90.00, 90.00, 131.34 degrees
Closest atoms and distances in Å follow each position.
Element x y z (fractional)
Dy (0.0000, 0.0000, 0.0000)  6 In 3.00-3.02
Dy (0.0309, 0.4691, 0.2500)  5 In 3.12-3.21, 2 Dy 3.49
Dy (0.4691, 0.0309, 0.7500)  5 In 3.12-3.21, 2 Dy 3.49
Dy (0.5000, 0.5000, 0.5000)  6 In 3.00-3.02
Dy (0.5309, 0.9691, 0.2500)  5 In 3.12-3.21, 2 Dy 3.49
Dy (0.9691, 0.5309, 0.7500)  5 In 3.12-3.21, 2 Dy 3.49
Er (0.1063, 0.8937, 0.4596)  3 In 3.12-3.24, 1 Er 3.37
Er (0.3937, 0.6063, 0.9596)  3 In 3.12-3.24, 1 Er 3.37
Er (0.6063, 0.3937, 0.0404)  3 In 3.12-3.24, 1 Er 3.37
Er (0.8937, 0.1063, 0.5404)  3 In 3.12-3.24, 1 Er 3.37
In (0.1952, 0.8048, 0.0211)  5 Dy 3.02-3.19, 1 Er 3.12
In (0.2392, 0.2608, 0.2500)  3 Dy 3.00-3.21, 2 Er 3.24
In (0.2608, 0.2392, 0.7500)  3 Dy 3.00-3.21, 2 Er 3.24
In (0.3048, 0.6952, 0.5211)  5 Dy 3.02-3.19, 1 Er 3.12
In (0.6952, 0.3048, 0.4789)  5 Dy 3.02-3.19, 1 Er 3.12
In (0.7392, 0.7608, 0.2500)  3 Dy 3.00-3.21, 2 Er 3.24
In (0.7608, 0.7392, 0.7500)  3 Dy 3.00-3.21, 2 Er 3.24
In (0.8048, 0.1952, 0.9789)  5 Dy 3.02-3.19, 1 Er 3.12

calculated formation energy	-0.23	eV/atom
space group	Cmce

Entry 8:
The following is a DFT calculation (PBE) of an optimized crystal structure of NaMoPS2.

Cell lengths 4.6466, 4.6466, 4.6145 Å; angles 90.00, 90.00, 90.00 degrees
Closest atoms and distances in Å follow each position.
Element x y z (fractional)
Na (0.0000, 0.0000, 0.0000)  2 P 2.31, 4 S 2.32
Mo (0.5000, 0.5000, 0.5000)  8 S 3.27, 4 P 3.29
P (0.0000, 0.0000, 0.5000)  2 Na 2.31
S (0.0000, 0.5000, 0.0000)  2 Na 2.32
S (0.5000, 0.0000, 0.0000)  2 Na 2.32

offset from the most stable computed form	1835.8	meV per atom
space group	P4/mmm

no.,E_tot (eV per cell)
1,-78.22
2,-10.64
3,-14.14
4,-26.81
5,-27.43
6,-105.83
7,-71.99
8,-17.63